# MnNiHgF6, relaxed, DFT GGA+U
# Total energy = -4.479 eV per atom
# Crystal system = trigonal
# ρ = 5.608 g cm⁻³
# Magnetization = 14.000 μB/cell
data_MnNiHgF6
_cell_length_a 5.4780
_cell_length_b 5.4780
_cell_length_c 9.7570
_cell_angle_alpha 90.00
_cell_angle_beta 90.00
_cell_angle_gamma 120.00
_space_group_name_H-M_alt 'P -3 1 c'
_space_group_IT_number 163
_space_group_name_Hall '-P 3 2c'
loop_
_atom_site_label
_atom_site_type_symbol
_atom_site_fract_x
_atom_site_fract_y
_atom_site_fract_z
_atom_site_occupancy
Mn1 Mn 0.3333 0.6667 0.2500 1
Ni1 Ni 0.3333 0.6667 0.7500 1
Hg1 Hg 0.0000 0.0000 0.0000 1
F1 F 0.0146 0.3624 0.6371 1